VASP calculation (GGA-PBE) on a relaxed structure of Hg2AsW. Values from VASP.

Geometry as Quantum ESPRESSO input:
```
&SYSTEM
  ibrav = 0, nat = 4, ntyp = 3
/
ATOMIC_SPECIES
Hg 200.59 Hg.upf
As 74.92 As.upf
W 183.84 W.upf
ATOMIC_POSITIONS crystal
Hg 0.000 0.000 0.000
Hg 0.500 0.500 0.000
As 0.000 0.500 0.500
W 0.500 0.000 0.500
CELL_PARAMETERS angstrom
3.257 0.000 0.000
0.000 4.609 0.000
0.000 0.000 5.151
```

Properties
energy of formation = 0.847 eV/atom


VASP calculation (GGA-PBE) on a relaxed structure of Tb2PuRu. Values from VASP.

Geometry as Quantum ESPRESSO input:
```
&SYSTEM
  ibrav = 0, nat = 16, ntyp = 3
/
ATOMIC_SPECIES
Tb 158.93 Tb.upf
Pu 244.00 Pu.upf
Ru 101.07 Ru.upf
ATOMIC_POSITIONS crystal
Tb 0.174 0.064 0.174
Tb 0.174 0.436 0.174
Tb 0.326 0.564 0.674
Tb 0.326 0.936 0.674
Tb 0.674 0.064 0.326
Tb 0.674 0.436 0.326
Tb 0.826 0.564 0.826
Tb 0.826 0.936 0.826
Pu 0.048 0.250 0.655
Pu 0.452 0.750 0.155
Pu 0.548 0.250 0.845
Pu 0.952 0.750 0.345
Ru 0.131 0.750 0.989
Ru 0.369 0.250 0.489
Ru 0.631 0.750 0.511
Ru 0.869 0.250 0.011
CELL_PARAMETERS angstrom
7.161 0.000 0.000
0.000 9.442 0.000
0.000 0.000 6.273
```

Properties
energy of formation = -0.217 eV/atom
excess energy over the best structure of this formula in the dataset = 0 meV/atom


VASP calculation (GGA-PBE) on a relaxed structure of NdErTm2Sc2. Values from VASP.

Geometry as Quantum ESPRESSO input:
```
&SYSTEM
  ibrav = 0, nat = 12, ntyp = 4
/
ATOMIC_SPECIES
Nd 144.24 Nd.upf
Er 167.26 Er.upf
Tm 168.93 Tm.upf
Sc 44.96 Sc.upf
ATOMIC_POSITIONS crystal
Nd 0.000 0.000 0.000
Nd 0.500 0.500 0.500
Er 0.000 0.500 0.500
Er 0.500 0.000 0.000
Tm 0.247 0.334 0.000
Tm 0.253 0.834 0.500
Tm 0.747 0.166 0.500
Tm 0.753 0.666 0.000
Sc 0.250 0.167 0.500
Sc 0.250 0.667 0.000
Sc 0.750 0.333 0.000
Sc 0.750 0.833 0.500
CELL_PARAMETERS angstrom
6.728 0.000 0.000
0.000 9.482 0.000
0.000 0.000 5.447
```

Properties
energy of formation = 0.077 eV/atom


VASP calculation (GGA-PBE) on a relaxed structure of HIrOs2W. Values from VASP.

Geometry as Quantum ESPRESSO input:
```
&SYSTEM
  ibrav = 0, nat = 5, ntyp = 4
/
ATOMIC_SPECIES
H 1.01 H.upf
Ir 192.22 Ir.upf
Os 190.23 Os.upf
W 183.84 W.upf
ATOMIC_POSITIONS crystal
H 0.000 0.000 0.000
Ir 0.000 0.000 0.500
Os 0.000 0.500 0.000
Os 0.500 0.000 0.000
W 0.500 0.500 0.500
CELL_PARAMETERS angstrom
3.955 0.000 0.000
0.000 3.955 0.000
0.000 0.000 3.909
```

Properties
excess energy over the best structure of this formula in the dataset = 0 meV/atom


VASP calculation (GGA-PBE) on a relaxed structure of CrRh2Se. Values from VASP.

Geometry as Quantum ESPRESSO input:
```
&SYSTEM
  ibrav = 0, nat = 4, ntyp = 3
/
ATOMIC_SPECIES
Cr 52.00 Cr.upf
Rh 102.91 Rh.upf
Se 78.96 Se.upf
ATOMIC_POSITIONS crystal
Cr 0.000 0.000 0.000
Rh 0.275 0.775 0.500
Rh 0.725 0.225 0.500
Se 0.500 0.500 0.000
CELL_PARAMETERS angstrom
-1.795 2.042 4.034
1.795 -2.042 4.034
1.795 2.042 -4.034
```

Properties
ΔE_f (raw) = 32 meV/atom


VASP calculation (GGA-PBE) on a relaxed structure of CuHgOF2. Values from VASP.

Geometry as Quantum ESPRESSO input:
```
&SYSTEM
  ibrav = 0, nat = 5, ntyp = 4
/
ATOMIC_SPECIES
Cu 63.55 Cu.upf
Hg 200.59 Hg.upf
O 16.00 O.upf
F 19.00 F.upf
ATOMIC_POSITIONS crystal
Cu 0.000 0.000 0.000
Hg 0.500 0.500 0.500
O 0.500 0.500 0.000
F 0.000 0.500 0.500
F 0.500 0.000 0.500
CELL_PARAMETERS angstrom
4.459 0.000 0.000
0.000 4.459 0.000
0.000 0.000 4.155
```

Properties
ΔE_f (raw) = -245 meV/atom
excess energy over the best structure of this formula in the dataset = 716 meV/atom